# 1
18
Lattice="-1.815 -5.204 -0.488 5.161 0.979 1.738 -3.959 0.294 11.593" Properties=species:S:1:pos:R:3 comment="RbNbSbO6 (PBE-GGA, optimized geometry)" magmom_total_mub_per_cell=2.1 raw_formation_energy_ev_per_fu=-15.66 spacegroup="P-31c, No. 163" dos_ef_per_ev_cell=8.7 pbc="T T T"
O -0.622 -2.324 8.385
O 2.728 -2.016 5.396
Rb -1.980 0.147 5.797
O 3.791 -1.080 3.385
O 1.365 -2.464 2.591
O -2.073 -4.370 10.293
O 1.723 0.677 4.985
Sb -2.459 -2.923 8.949
Nb -0.133 -0.862 9.691
O -1.977 -1.467 10.252
Sb 1.846 -1.009 3.894
O -4.404 -2.852 9.458
O -3.340 -1.916 7.447
Rb 0.000 0.000 0.000
O 1.460 0.438 2.550
O -2.335 -4.609 7.858
O 0.010 -1.608 4.458
Nb -0.479 -3.070 3.152

# 2
14
Lattice="-0.895 -5.502 -2.531 -0.289 0.656 6.080 -7.822 1.519 -0.536" Properties=species:S:1:pos:R:3 comment="Rb3ScNb2O8 (PBE-GGA, optimized geometry)" magmom_total_mub_per_cell=0.0 raw_formation_energy_ev_per_fu=-35.46 spacegroup="P-3m1, No. 164" dos_ef_per_ev_cell=0.0 pbc="T T T"
O -5.481 -0.705 -0.185
Rb -5.940 -0.339 2.836
O -3.525 -2.622 3.198
O -5.934 -3.491 -1.466
Rb 0.000 0.000 0.000
O -6.081 -3.158 1.612
Rb -3.067 -2.988 0.177
O -3.072 0.164 4.479
O -2.926 -0.169 1.401
O -0.763 -1.344 3.191
Nb -6.460 -2.330 -0.056
Sc -3.911 0.759 -0.268
Nb -2.546 -0.997 3.069
O -8.244 -1.983 -0.178

# 3
10
Lattice="5.923 0.000 0.000 2.962 5.130 0.000 2.962 1.710 4.836" Properties=species:S:1:pos:R:3 comment="Rb2ScNbO6 (PBE-GGA, optimized geometry)" magmom_total_mub_per_cell=2.0 raw_formation_energy_ev_per_fu=-21.52 spacegroup="Fm-3m, No. 225" dos_ef_per_ev_cell=6.1 pbc="T T T"
Rb 2.962 1.710 1.209
O 5.923 1.764 1.247
Nb 5.923 3.420 2.418
O 7.358 4.248 1.247
Rb 8.885 5.130 3.627
O 4.489 2.592 3.589
O 5.923 5.076 3.589
Sc 0.000 0.000 0.000
O 4.489 4.248 1.247
O 7.358 2.592 3.589

# 4
37
Lattice="6.996 -0.011 0.001 -2.517 7.579 -0.012 0.169 -2.765 10.870" Properties=species:S:1:pos:R:3 comment="Rb4Nb2Si8O23 (PBE-GGA, optimized geometry)" magmom_total_mub_per_cell=0.0 raw_formation_energy_ev_per_fu=-98.62 spacegroup="P-1, No. 2" dos_ef_per_ev_cell=0.0 pbc="T T T"
O 5.287 3.679 1.582
O 3.184 3.819 7.371
O 0.765 6.712 2.675
O 3.728 0.896 4.729
O 6.214 -0.039 4.478
O -0.639 1.123 9.277
O 1.020 3.057 8.661
Rb 3.035 4.449 3.859
O -0.459 5.921 0.143
Si 5.042 2.087 1.401
O -0.488 4.540 3.969
Si -0.395 2.716 9.458
O -2.162 6.359 2.373
O 5.136 0.262 6.890
O 3.627 1.745 2.198
Si 4.575 4.613 7.783
O 0.920 3.907 6.130
Si -0.576 3.924 5.437
Si 0.072 0.190 3.076
Rb 3.022 5.809 0.094
O 1.155 4.153 1.630
Si 1.601 4.181 7.608
O 3.493 0.649 9.229
O -1.174 2.407 5.429
Si 5.224 0.878 5.422
Rb 1.625 -1.007 10.765
O 1.464 0.983 3.488
O -1.566 4.841 6.381
Si 3.047 0.621 3.251
Nb 4.977 -0.289 8.846
O 6.810 -1.556 8.486
O -1.597 3.605 8.772
O 6.244 1.197 2.087
O 5.106 -1.118 10.716
Rb 1.613 0.354 7.000
Nb -0.329 5.092 2.013
O 3.883 -1.909 8.184

# 5
96
Lattice="-4.450 5.689 -1.701 -0.381 -3.267 -9.932 -16.371 -11.488 4.406" Properties=species:S:1:pos:R:3 comment="RbNbSiO5 (PBE-GGA, optimized geometry)" magmom_total_mub_per_cell=0.0 raw_formation_energy_ev_per_fu=-20.83 spacegroup="P2_12_12_1, No. 19" polymorph_energy_kcal_per_mol_atoms=0.00 dos_ef_per_ev_cell=0.0 pbc="T T T"
O -7.909 0.102 -8.300
O -14.487 -3.514 1.680
Rb -3.750 1.853 -7.277
O -17.626 -10.572 2.123
Nb -2.950 -1.405 -4.773
O -4.161 -0.916 -9.014
Nb -16.531 -12.154 2.065
O -16.104 -3.493 -0.489
Rb -14.498 -5.719 -5.177
O -1.482 -0.685 -5.954
O -5.919 1.493 -9.446
O -17.140 -7.677 -4.285
O -6.738 -1.598 -2.470
Si -16.519 -9.210 -4.511
O -19.450 -5.656 1.286
O -9.190 -4.609 -5.029
Nb -12.842 -2.335 1.054
O -9.534 -7.079 -6.296
Si -2.850 -4.074 -6.908
Nb -10.245 -3.453 -9.330
Si -10.173 0.699 -2.686
O -14.712 -9.680 -1.794
O -9.838 -8.302 -3.723
O -9.770 -5.803 -2.501
Nb -11.230 -7.139 -2.894
Si -18.346 -6.841 -5.081
Si -12.862 -5.544 -0.347
O -12.192 -6.658 0.701
O -14.872 -9.025 -4.422
O -6.313 -2.019 -7.859
O -8.635 -1.413 -0.550
O -15.750 -11.485 0.259
O -12.075 -6.244 -7.374
O -16.932 -9.762 -5.980
Rb -17.424 -6.680 -1.367
Nb -17.978 -6.133 2.545
O -9.048 -0.480 -3.048
Nb -10.628 -5.497 -6.238
O -12.299 -4.058 -0.032
O -4.284 -1.073 -6.339
O -7.160 -5.357 -1.635
O -17.425 -9.528 -0.578
O -14.494 -5.603 -0.052
O -1.704 -1.637 -3.336
Rb -6.811 -5.085 -6.983
O -8.661 -2.298 -8.943
Nb -2.401 2.064 -3.531
O -11.395 -1.433 0.182
Si -13.882 -9.544 -3.183
O -6.576 -3.852 -3.960
Nb -16.369 -10.963 -1.483
Si -15.408 -4.428 0.703
O -6.629 -1.084 -10.378
O -11.711 -3.807 -5.840
O -10.277 0.888 -1.078
O -19.758 -10.208 -6.179
O -16.634 -5.233 1.369
Rb -9.166 -4.312 0.469
Si -4.673 -1.778 -7.732
O -5.129 -3.604 -1.678
O -3.732 2.098 -1.934
O -15.184 -12.399 -2.396
O -11.394 -2.386 -8.228
O -17.025 -10.207 -3.339
Si -7.368 -1.336 -8.955
O -17.719 -7.824 1.683
O -4.478 -2.070 -3.668
O -4.024 -3.314 -7.820
O -9.794 -4.646 -7.796
O -3.532 3.329 -4.439
Rb -3.677 -0.636 -0.928
O -13.249 -11.020 -3.633
O -7.612 -6.634 -4.166
Rb -17.369 -12.901 -4.810
Rb -12.119 -2.769 -2.833
O -8.939 -3.122 -2.595
Si -5.746 -2.822 -3.018
O -5.292 4.276 -2.333
Nb -12.843 -2.543 -6.748
O -3.321 0.475 -4.218
Nb -4.898 0.105 -10.660
O -10.764 -8.080 -1.094
O -11.586 -6.282 -4.570
O -12.631 -8.529 -3.211
O -18.721 -7.564 -6.469
O -2.631 -3.275 -5.512
Rb -14.844 -8.704 1.329
O -14.119 -1.693 -0.448
Rb -6.250 1.378 -3.620
Si -8.359 -1.679 -2.113
Nb -8.295 -4.936 -3.362
Rb -12.065 -9.004 -6.318
O -13.732 -4.134 -7.747
O -12.564 -5.981 -1.881
Rb -9.237 -1.810 -5.839
Si -11.026 -7.831 0.474

# 6
128
Lattice="-16.760 -12.406 -2.680 -12.859 -15.270 6.592 -7.765 5.054 4.828" Properties=species:S:1:pos:R:3 comment="RbNbSiO5 (PBE-GGA, optimized geometry)" magmom_total_mub_per_cell=0.0 raw_formation_energy_ev_per_fu=-20.78 spacegroup="C2, No. 5" polymorph_energy_kcal_per_mol_atoms=0.15 dos_ef_per_ev_cell=0.0 pbc="T T T"
O -5.922 0.247 2.384
Nb -24.117 -18.136 5.596
O -31.583 -22.779 6.067
Rb -18.674 -8.925 7.544
Rb -20.254 -19.641 4.903
Rb -16.738 -9.917 0.680
O -25.652 -15.630 7.975
O -24.988 -18.254 7.269
O -12.468 -1.095 4.149
Rb -15.538 -7.453 4.530
O -18.116 -14.861 -0.607
Rb -22.826 -11.103 2.876
Nb -12.570 -4.997 4.797
O -6.208 -4.601 1.201
O -23.033 -17.710 3.881
O -11.747 -13.477 5.957
Rb -15.509 -4.170 7.686
O -22.071 -12.577 5.695
O -12.584 -9.373 3.270
Rb -21.650 -15.311 4.673
O -20.365 -10.336 4.870
Rb -16.981 -12.566 8.434
O -13.032 -11.926 3.843
O -22.802 -20.298 2.801
Rb -25.913 -15.681 2.729
Si -14.530 -10.099 7.134
Si -20.625 -6.129 4.867
Si -9.014 -1.943 1.448
Rb -9.369 -5.607 1.682
O -15.490 -12.541 5.052
Rb -26.472 -23.898 3.677
O -18.295 -12.234 0.426
O -17.352 -12.041 3.076
O -13.740 -11.005 1.442
O -18.816 -7.855 2.072
O -22.212 -11.659 10.922
O -15.118 -10.188 3.507
O -13.293 -6.080 6.485
O -19.550 -10.680 2.329
O -19.850 -7.564 4.886
Si -4.681 -0.855 2.471
Si -23.368 -12.295 6.643
Si -29.522 -19.832 4.551
O -16.237 -12.790 -1.437
O -18.279 -14.509 2.079
Nb -13.539 -12.988 5.538
Rb -17.092 -14.883 5.038
O -19.632 -13.888 6.699
O -26.498 -14.436 5.719
O -17.738 -9.406 4.178
Rb -14.896 -13.774 1.750
O -11.772 -9.966 0.025
O -22.998 -11.688 8.110
Si -11.061 -8.501 0.104
O -24.264 -11.160 5.822
O -21.672 -5.994 3.629
Nb -20.059 -12.042 5.778
O -19.490 -11.204 10.082
Nb -22.977 -18.421 2.113
Nb -15.638 -3.296 3.698
Nb -26.421 -19.582 3.013
O -20.300 -11.250 7.475
Rb -10.962 1.315 4.940
O -28.221 -13.279 4.113
Rb -28.363 -16.758 6.229
O -12.598 -3.388 5.930
O -33.819 -22.045 7.402
O -5.329 -2.342 2.216
O -14.231 -2.594 2.480
Si -6.441 -3.534 2.409
O -20.908 -13.497 9.087
Nb -22.495 -7.288 2.195
O -24.223 -13.671 6.839
O -13.525 -11.290 6.662
Nb -21.295 -11.505 9.259
Nb -23.519 -21.526 4.136
Nb -19.103 -12.620 2.277
O -13.782 -14.592 4.397
O -29.577 -16.951 9.627
O -7.983 -2.927 2.307
O -21.397 -8.692 2.826
O -21.057 -15.821 7.734
O -25.417 -21.158 3.398
O -28.006 -20.241 4.120
Nb -18.206 -12.897 -1.343
O -10.811 -5.530 5.235
Nb -16.624 -11.093 4.626
Si -11.820 -7.935 3.118
O -25.741 -18.506 4.571
Si -25.168 -14.976 6.559
O -14.926 -2.071 5.118
Si -18.026 -15.562 0.859
O -22.258 -17.887 6.610
Nb -12.320 -2.042 2.498
O -24.421 -16.052 5.591
O -12.000 -3.852 3.316
O -14.574 -4.747 4.327
Nb -19.511 -9.098 3.537
O -29.497 -19.623 6.201
O -17.210 -3.655 4.976
O -14.359 -14.012 7.056
Nb -13.275 -1.528 6.004
Si -27.593 -13.187 5.612
O -11.581 -7.567 -1.124
O -10.401 -7.968 3.925
O -6.206 -6.845 2.915
O -3.575 -0.569 1.312
O -13.838 -8.627 6.919
O -12.780 -6.703 3.582
O -10.309 -1.696 2.403
O -23.110 -16.596 1.219
O -15.946 -10.059 6.331
O -20.827 -13.107 1.295
O -31.592 -20.618 7.620
Si -20.114 -14.533 8.114
O -20.924 -18.415 1.978
Rb -13.672 -5.324 0.778
O -26.834 -11.758 5.809
Si -13.612 -10.622 3.055
O -19.896 -13.032 3.965
O -11.526 -7.714 1.496
O -18.112 -11.737 5.748
O -31.168 -18.026 7.555
Si -32.195 -22.138 7.473
O -16.506 -4.386 2.213
Si -30.419 -19.472 7.574
O -23.676 -20.048 5.445
O -24.942 -18.713 2.007

# 7
16
Lattice="6.482 -0.048 -0.010 -1.938 6.186 -0.010 -1.892 -2.556 8.171" Properties=species:S:1:pos:R:3 comment="RbSmNbO5 (PBE-GGA, optimized geometry)" magmom_total_mub_per_cell=2.0 raw_formation_energy_ev_per_fu=-19.58 spacegroup="C2/c, No. 15" dos_ef_per_ev_cell=0.4 pbc="T T T"
O 4.904 1.455 0.940
O 4.475 -1.530 6.118
O 1.830 1.058 0.990
O 3.120 2.801 3.076
O 3.637 -0.255 3.125
O -2.252 2.127 7.210
O -0.986 3.837 5.026
Rb 2.262 0.109 6.118
Sm -0.946 -1.278 4.085
O -1.823 5.111 2.033
O 0.822 2.524 7.161
Sm 0.000 0.000 0.000
Nb 3.397 1.247 2.033
O -0.469 0.781 5.075
Rb 0.390 3.473 2.033
Nb -0.745 2.335 6.118

# 8
20
Lattice="-4.598 4.941 -2.896 4.063 -2.988 -5.339 -3.863 -5.259 3.370" Properties=species:S:1:pos:R:3 comment="Rb4SmNb3O12 (PBE-GGA, optimized geometry)" magmom_total_mub_per_cell=2.1 raw_formation_energy_ev_per_fu=-44.74 spacegroup="Im-3m, No. 229" dos_ef_per_ev_cell=11.2 pbc="T T T"
O -4.364 0.329 -1.822
O -4.181 -2.221 -0.255
O -0.217 -1.085 -4.610
Nb -0.267 0.977 -4.118
Rb -2.199 -1.653 -2.433
Sm 0.000 0.000 0.000
O 0.054 -2.242 -0.535
O 0.145 -6.004 -1.434
Rb 2.032 -1.494 -2.670
O -6.161 -0.232 0.345
O -2.383 0.897 -3.999
Rb -2.299 2.470 -1.448
O -2.301 -0.086 0.129
O -0.145 0.531 -2.239
Rb -1.932 -2.629 1.685
O -2.015 -4.203 -0.866
Nb 0.100 -4.123 -0.984
Nb -4.231 -0.159 0.237
O -0.034 -3.635 -3.043
O -0.389 1.422 -5.996

# 9
15
Lattice="7.027 0.000 0.000 -3.513 6.085 -0.023 0.000 -4.034 6.620" Properties=species:S:1:pos:R:3 comment="Rb3Sm3NbO8 (PBE-GGA, optimized geometry)" magmom_total_mub_per_cell=1.0 raw_formation_energy_ev_per_fu=-38.63 spacegroup="R-3m, No. 166" dos_ef_per_ev_cell=1.8 pbc="T T T"
O 3.513 0.016 4.485
O 1.602 -1.096 2.235
O 0.000 2.036 2.112
Sm 1.757 1.026 3.299
Rb 0.000 0.000 0.000
O 1.911 3.148 4.362
Nb 0.000 -2.017 3.310
Rb -1.757 3.043 -0.011
Rb 1.757 3.043 -0.011
Sm -1.757 1.026 3.299
O 3.513 2.215 2.223
O -1.911 3.148 4.362
O 0.000 -0.163 4.375
O 5.425 -1.096 2.235
Sm 3.513 -2.017 3.310

# 10
14
Lattice="6.350 0.000 0.000 -3.175 5.499 0.000 0.000 0.000 8.098" Properties=species:S:1:pos:R:3 comment="Rb3SmNb2O8 (PBE-GGA, optimized geometry)" magmom_total_mub_per_cell=0.0 raw_formation_energy_ev_per_fu=-35.68 spacegroup="P-3m1, No. 164" dos_ef_per_ev_cell=0.0 pbc="T T T"
Rb 3.175 1.833 2.513
Sm 0.000 0.000 4.049
Nb 0.000 3.666 1.988
O 3.175 3.615 5.446
O 3.175 1.833 7.931
O 0.000 3.666 0.167
O 1.543 4.557 2.652
O 1.632 0.942 5.446
Nb 3.175 1.833 6.110
Rb 0.000 3.666 5.585
O 4.718 0.942 5.446
O 0.000 1.884 2.652
O -1.543 4.557 2.652
Rb 0.000 0.000 0.000